Computed, not measured: an optimized crystal structure of NpGaSb at the PBE level of DFT.

* crystal system: tetragonal
* spin magnetization: 7.73 μB per cell
* offset from the most stable computed form: 0.00 eV/f.u.
* calculated total energy: -6.92 eV/atom

Cell lengths 8.103, 8.103, 8.103 Å; angles 148.40, 148.40, 45.29 degrees
Atoms (fractional coordinates):
Np 0.138 0.138 0.000
Np 0.862 0.862 0.000
Ga 0.000 0.500 0.500
Ga 0.500 0.000 0.500
Sb 0.347 0.347 0.000
Sb 0.653 0.653 0.000